# 1
This record from the Alexandria database describes a relaxed Tb2PaSe3 crystal. The functional is GGA-PBE.

a = 3.9690 Å, b = 3.9690 Å, c = 21.2520 Å
α = 90.00°, β = 90.00°, γ = 120.00°
Space group P6_3/mmc (No. 194)
Asymmetric unit:
Tb 0.3333 0.6667 0.0854 [4 per cell]
Pa 0.0000 0.0000 0.2500 [2 per cell]
Se 0.0000 0.0000 0.0000 [2 per cell]
Se 0.3333 0.6667 0.6639 [4 per cell]

Output
final energy: -6.42 eV per atom
raw formation energy: -1555.7 meV per atom
size of the total moment: 1.223 μB per cell

---

# 2
This record from the Alexandria database describes a relaxed Sc3CdN crystal. The functional is GGA-PBE.

a = 13.597 Å, b = 3.270 Å, c = 10.635 Å
α = 90.00°, β = 128.17°, γ = 90.00°
Space group Cm (No. 8)
Asymmetric unit:
Sc 0.000 0.000 0.000 [2 per cell]
Sc 0.002 0.500 0.493 [2 per cell]
Sc 0.123 0.500 0.876 [2 per cell]
Sc 0.258 0.000 0.776 [2 per cell]
Sc 0.366 0.000 0.124 [2 per cell]
Sc 0.377 0.500 0.640 [2 per cell]
Cd 0.126 0.000 0.380 [2 per cell]
Cd 0.252 0.500 0.261 [2 per cell]
N 0.317 0.500 0.956 [2 per cell]
N 0.439 0.000 0.820 [2 per cell]

Output
final energy: -6.49 eV per atom
raw formation energy: -838.6 meV per atom
size of the total moment: 2.052 μB per cell

---

# 3
This record from the Alexandria database describes a relaxed LaTlOs2 crystal. The functional is GGA-PBE.

a = 3.0190 Å, b = 3.0190 Å, c = 30.5022 Å
α = 90.00°, β = 90.00°, γ = 120.00°
Space group R3m (No. 160, hexagonal axes)
Asymmetric unit:
La 0.0000 0.0000 0.0000 [3 per cell]
Tl 0.0000 0.0000 0.2331 [3 per cell]
Os 0.0000 0.0000 0.4856 [3 per cell]
Os 0.0000 0.0000 0.7551 [3 per cell]

Output
final energy: -6.75 eV per atom
size of the total moment: 1.622 μB per cell
formation enthalpy at 0 K: 692.5 meV per atom

---

# 4
This record from the Alexandria database describes a relaxed Tb5Pm2Pr6 crystal. The functional is GGA-PBE.

a = 11.900 Å, b = 20.779 Å, c = 3.669 Å
α = 90.00°, β = 90.00°, γ = 90.00°
Space group Pbam (No. 55)
Asymmetric unit:
Tb 0.000 0.000 0.000 [2 per cell]
Tb 0.092 0.276 0.000 [4 per cell]
Tb 0.199 0.556 0.000 [4 per cell]
Pm 0.168 0.714 0.500 [4 per cell]
Pr 0.059 0.422 0.500 [4 per cell]
Pr 0.080 0.134 0.500 [4 per cell]
Pr 0.177 0.870 0.000 [4 per cell]

Output
final energy: -4.62 eV per atom
size of the total moment: 0.000 μB per cell
formation enthalpy at 0 K: 99.1 meV per atom